(1)
Ce2NdAs | PBE-GGA | optimized geometry

polymorph energy (0 for the lowest one)	0.0	kJ per mole of atoms
energy of formation from the pure elements	-47.5	kJ per mole of atoms
spin magnetization	0.417	μB/atom

a b c (Å): 3.900 3.900 9.706
angles (deg): 78.41 78.41 60.00
Atoms (fractional coordinates):
Ce1 0.065 0.065 0.806
Ce2 0.269 0.269 0.194
Nd1 0.500 0.500 0.499
As1 0.667 0.667 0.000

(2)
CeNd5As6 | PBE-GGA | optimized geometry

energy of formation from the pure elements	-145.3	kJ per mole of atoms
spin magnetization	0.037	μB/atom

a b c (Å): 7.382 7.379 7.380
angles (deg): 60.00 80.41 70.54
Atoms (fractional coordinates):
As1 0.247 0.918 0.671
As2 0.247 0.589 0.329
As3 0.753 0.411 0.671
As4 0.753 0.754 0.000
As5 0.247 0.246 0.000
As6 0.753 0.082 0.329
Nd1 0.500 0.168 0.665
Nd2 0.500 0.832 0.335
Nd3 0.000 0.334 0.333
Nd4 0.000 0.666 0.667
Nd5 0.500 0.500 0.000
Ce1 0.000 0.000 0.000

(3)
CeNdAs | PBE-GGA | optimized geometry

energy of formation from the pure elements	-70.0	kJ per mole of atoms
spin magnetization	0.458	μB/atom

a b c (Å): 4.986 4.986 4.986
angles (deg): 60.00 60.00 60.00
Atoms (fractional coordinates):
Ce1 0.500 0.500 0.500
As1 0.250 0.250 0.250
Nd1 0.000 0.000 0.000

(4)
CeNdAs | PBE-GGA | optimized geometry

energy of formation from the pure elements	-65.1	kJ per mole of atoms
spin magnetization	0.350	μB/atom

a b c (Å): 3.887 3.887 5.970
angles (deg): 109.00 109.00 90.00
Atoms (fractional coordinates):
As1 0.282 0.282 0.564
Ce1 0.925 0.925 0.851
Nd1 0.643 0.643 0.286

(5)
Ce3NdAs4 | PBE-GGA | optimized geometry

energy of formation from the pure elements	-139.7	kJ per mole of atoms
spin magnetization	0.259	μB/atom

a b c (Å): 4.231 7.329 7.329
angles (deg): 109.46 90.00 90.00
Atoms (fractional coordinates):
Ce1 0.000 0.500 0.000
Ce2 0.000 0.000 0.500
Ce3 0.500 0.500 0.500
As1 0.000 0.746 0.746
As2 0.500 0.252 0.748
As3 0.500 0.748 0.252
As4 0.000 0.254 0.254
Nd1 0.500 0.000 0.000

(6)
Ce2NdNpAs4 | PBE-GGA | optimized geometry

energy of formation from the pure elements	-121.2	kJ per mole of atoms
spin magnetization	0.664	μB/atom

a b c (Å): 4.203 7.296 7.265
angles (deg): 109.47 90.00 90.00
Atoms (fractional coordinates):
Ce1 0.000 0.500 0.500
Ce2 0.500 0.000 0.500
As1 0.000 0.743 0.247
As2 0.500 0.743 0.748
As3 0.500 0.257 0.252
As4 0.000 0.257 0.753
Nd1 0.000 0.000 0.000
Np1 0.500 0.500 0.000

(7)
CeNdNp2As4 | PBE-GGA | optimized geometry

energy of formation from the pure elements	-103.1	kJ per mole of atoms
spin magnetization	1.060	μB/atom

a b c (Å): 4.173 7.237 7.241
angles (deg): 109.43 90.00 90.00
Atoms (fractional coordinates):
Np1 0.000 0.500 0.500
Np2 0.500 0.000 0.500
As1 0.000 0.249 0.741
As2 0.500 0.744 0.738
As3 0.500 0.256 0.262
As4 0.000 0.751 0.259
Nd1 0.000 0.000 0.000
Ce1 0.500 0.500 0.000

(8)
CeNdAsP | PBE-GGA | optimized geometry

energy of formation from the pure elements	-142.8	kJ per mole of atoms
spin magnetization	0.172	μB/atom

a b c (Å): 4.192 4.192 5.923
angles (deg): 90.00 90.00 90.00
Atoms (fractional coordinates):
P1 0.500 0.392 0.593
As1 0.000 0.891 0.092
Nd1 0.500 0.391 0.093
Ce1 0.000 0.892 0.592

(9)
Ce2Nd3PaAs6 | PBE-GGA | optimized geometry

energy of formation from the pure elements	-136.8	kJ per mole of atoms
spin magnetization	0.137	μB/atom

a b c (Å): 7.311 7.311 7.310
angles (deg): 99.60 99.60 119.99
Atoms (fractional coordinates):
Pa1 0.000 0.000 0.000
As1 0.406 0.080 0.240
As2 0.920 0.594 0.760
As3 0.594 0.920 0.760
As4 0.080 0.406 0.240
As5 0.755 0.755 0.241
As6 0.245 0.245 0.759
Ce1 0.334 0.666 0.000
Ce2 0.666 0.334 0.000
Nd1 0.500 0.500 0.500
Nd2 0.831 0.169 0.500
Nd3 0.169 0.831 0.500

(10)
Ce2NdPaAs5 | PBE-GGA | optimized geometry

energy of formation from the pure elements	-59.2	kJ per mole of atoms
spin magnetization	0.179	μB/atom

a b c (Å): 5.101 5.101 11.035
angles (deg): 90.00 90.00 90.00
Atoms (fractional coordinates):
As1 0.500 0.000 0.500
As2 0.000 0.500 0.500
As3 0.000 0.000 0.749
As4 0.000 0.000 0.251
As5 0.500 0.500 0.000
Ce1 0.500 0.500 0.279
Ce2 0.500 0.500 0.721
Pa1 0.000 0.000 0.500
Nd1 0.000 0.000 0.000

(11)
CeNdPa2As4 | PBE-GGA | optimized geometry

energy of formation from the pure elements	-121.5	kJ per mole of atoms
spin magnetization	0.130	μB/atom

a b c (Å): 4.159 7.230 7.207
angles (deg): 70.61 90.00 90.00
Atoms (fractional coordinates):
Pa1 0.500 0.000 0.500
Pa2 0.000 0.000 0.000
Ce1 0.000 0.500 0.500
Nd1 0.500 0.500 0.000
As1 0.000 0.763 0.744
As2 0.500 0.239 0.752
As3 0.500 0.761 0.248
As4 0.000 0.237 0.256

(12)
CeNdAs2Pd2 | PBE-GGA | optimized geometry

energy of formation from the pure elements	-110.8	kJ per mole of atoms
spin magnetization	0.185	μB/atom

a b c (Å): 4.372 4.372 7.850
angles (deg): 90.00 90.00 120.00
Atoms (fractional coordinates):
Ce1 0.000 0.000 0.000
Pd1 0.333 0.667 0.753
Pd2 0.667 0.333 0.247
As1 0.667 0.333 0.752
As2 0.333 0.667 0.248
Nd1 0.000 0.000 0.500

(13)
Ce3PmNd4As8 | PBE-GGA | optimized geometry

energy of formation from the pure elements	-143.7	kJ per mole of atoms
spin magnetization	0.112	μB/atom

a b c (Å): 8.491 8.491 8.491
angles (deg): 120.00 120.00 90.00
Atoms (fractional coordinates):
Nd1 0.000 0.000 0.500
Nd2 0.500 0.000 0.500
Nd3 0.500 0.000 0.000
Nd4 0.000 0.000 0.000
As1 0.249 0.745 0.499
As2 0.751 0.255 0.501
As3 0.252 0.256 0.504
As4 0.249 0.745 0.995
As5 0.751 0.255 0.005
As6 0.746 0.745 0.995
As7 0.254 0.255 0.005
As8 0.748 0.744 0.496
Pm1 0.000 0.500 0.000
Ce1 0.500 0.500 0.500
Ce2 0.500 0.500 0.000
Ce3 0.000 0.500 0.500

(14)
CePm2Nd3As6 | PBE-GGA | optimized geometry

energy of formation from the pure elements	-145.8	kJ per mole of atoms
spin magnetization	0.040	μB/atom

a b c (Å): 7.359 7.359 7.363
angles (deg): 99.58 99.58 119.99
Atoms (fractional coordinates):
As1 0.752 0.752 0.246
As2 0.588 0.918 0.754
As3 0.082 0.412 0.246
As4 0.412 0.082 0.246
As5 0.918 0.588 0.754
As6 0.248 0.248 0.754
Nd1 0.500 0.500 0.500
Nd2 0.833 0.167 0.500
Nd3 0.167 0.833 0.500
Ce1 0.000 0.000 0.000
Pm1 0.666 0.334 0.000
Pm2 0.334 0.666 0.000

(15)
Ce3PmNd2As6 | PBE-GGA | optimized geometry

energy of formation from the pure elements	-142.6	kJ per mole of atoms
spin magnetization	0.155	μB/atom

a b c (Å): 7.340 7.340 7.340
angles (deg): 99.60 99.60 120.00
Atoms (fractional coordinates):
As1 0.583 0.915 0.745
As2 0.915 0.583 0.745
As3 0.085 0.417 0.255
As4 0.247 0.247 0.744
As5 0.417 0.085 0.255
As6 0.753 0.753 0.256
Ce1 0.833 0.167 0.500
Ce2 0.500 0.500 0.500
Ce3 0.167 0.833 0.500
Nd1 0.333 0.667 0.000
Nd2 0.667 0.333 0.000
Pm1 0.000 0.000 0.000

(16)
CePr3Nd2As6 | PBE-GGA | optimized geometry

energy of formation from the pure elements	-144.6	kJ per mole of atoms
spin magnetization	0.043	μB/atom

a b c (Å): 4.283 8.564 9.564
angles (deg): 102.94 102.94 90.00
Atoms (fractional coordinates):
Pr1 0.832 0.167 0.665
Pr2 0.168 0.833 0.335
Pr3 0.500 0.500 0.000
As1 0.000 0.756 0.000
As2 0.664 0.083 0.328
As3 0.336 0.917 0.672
As4 0.000 0.244 0.000
As5 0.333 0.418 0.666
As6 0.667 0.582 0.334
Nd1 0.833 0.665 0.666
Nd2 0.167 0.335 0.334
Ce1 0.500 0.000 0.000

(17)
Ce3PrNd2As6 | PBE-GGA | optimized geometry

energy of formation from the pure elements	-142.2	kJ per mole of atoms
spin magnetization	0.155	μB/atom

a b c (Å): 7.360 7.360 7.361
angles (deg): 99.60 99.60 120.00
Atoms (fractional coordinates):
Nd1 0.333 0.667 0.000
Nd2 0.667 0.333 0.000
As1 0.420 0.086 0.257
As2 0.086 0.420 0.257
As3 0.249 0.249 0.743
As4 0.580 0.914 0.743
As5 0.914 0.580 0.743
As6 0.751 0.751 0.257
Ce1 0.166 0.834 0.500
Ce2 0.834 0.166 0.500
Ce3 0.500 0.500 0.500
Pr1 0.000 0.000 0.000

(18)
CePr2Nd3As6 | PBE-GGA | optimized geometry

energy of formation from the pure elements	-144.7	kJ per mole of atoms
spin magnetization	0.044	μB/atom

a b c (Å): 4.277 8.552 9.550
angles (deg): 102.92 102.94 90.00
Atoms (fractional coordinates):
Pr1 0.833 0.666 0.666
Pr2 0.167 0.334 0.334
Nd1 0.500 0.500 0.000
Nd2 0.832 0.167 0.665
Nd3 0.168 0.833 0.335
As1 0.334 0.415 0.668
As2 0.999 0.245 0.998
As3 0.664 0.081 0.329
As4 0.336 0.919 0.671
As5 0.001 0.755 0.002
As6 0.666 0.585 0.332
Ce1 0.500 0.000 0.000

(19)
CePr2NdAs4 | PBE-GGA | optimized geometry

energy of formation from the pure elements	-143.8	kJ per mole of atoms
spin magnetization	0.070	μB/atom

a b c (Å): 4.275 7.402 7.404
angles (deg): 109.39 90.00 90.00
Atoms (fractional coordinates):
As1 0.000 0.255 0.756
As2 0.500 0.252 0.245
As3 0.500 0.748 0.755
As4 0.000 0.745 0.244
Nd1 0.000 0.000 0.000
Pr1 0.500 0.000 0.500
Pr2 0.000 0.500 0.500
Ce1 0.500 0.500 0.000

(20)
CePrNd2As4 | PBE-GGA | optimized geometry

energy of formation from the pure elements	-144.0	kJ per mole of atoms
spin magnetization	0.071	μB/atom

a b c (Å): 4.267 7.390 7.388
angles (deg): 109.41 90.00 90.00
Atoms (fractional coordinates):
Nd1 0.000 0.500 0.500
Nd2 0.500 0.000 0.500
Pr1 0.000 0.000 0.000
As1 0.000 0.255 0.754
As2 0.500 0.254 0.249
As3 0.500 0.746 0.751
As4 0.000 0.745 0.246
Ce1 0.500 0.500 0.000

(21)
CeNdPu2As4 | PBE-GGA | optimized geometry

energy of formation from the pure elements	-120.4	kJ per mole of atoms
spin magnetization	1.358	μB/atom

a b c (Å): 4.202 7.240 7.278
angles (deg): 70.43 90.00 90.00
Atoms (fractional coordinates):
As1 0.500 0.243 0.749
As2 0.000 0.760 0.744
As3 0.500 0.757 0.251
As4 0.000 0.240 0.256
Nd1 0.500 0.500 0.000
Pu1 0.500 0.000 0.500
Pu2 0.000 0.000 0.000
Ce1 0.000 0.500 0.500

(22)
Ce3NdPu2As6 | PBE-GGA | optimized geometry

energy of formation from the pure elements	-126.3	kJ per mole of atoms
spin magnetization	1.041	μB/atom

a b c (Å): 7.286 7.286 7.266
angles (deg): 99.63 99.63 120.00
Atoms (fractional coordinates):
As1 0.744 0.744 0.249
As2 0.422 0.083 0.250
As3 0.083 0.422 0.250
As4 0.578 0.917 0.750
As5 0.917 0.578 0.750
As6 0.256 0.256 0.751
Ce1 0.165 0.835 0.500
Ce2 0.835 0.165 0.500
Ce3 0.500 0.500 0.500
Pu1 0.333 0.667 0.000
Pu2 0.667 0.333 0.000
Nd1 0.000 0.000 0.000

(23)
CeNdAs2Rh2 | PBE-GGA | optimized geometry

energy of formation from the pure elements	-107.2	kJ per mole of atoms
spin magnetization	0.000	μB/atom

a b c (Å): 4.270 4.270 7.915
angles (deg): 90.00 90.00 120.00
Atoms (fractional coordinates):
Rh1 0.667 0.333 0.272
Rh2 0.333 0.667 0.728
As1 0.667 0.333 0.758
As2 0.333 0.667 0.242
Ce1 0.000 0.000 0.500
Nd1 0.000 0.000 0.000